The following is a DFT calculation (GGA-PBE) of an optimized crystal structure of Rb3Sm2BiS6.

E_form (uncorrected) in eV/atom: -1.487
E_tot in eV/atom: -4.90

Cell: 7.245 7.245 8.070 Å, 98.60 98.60 119.99°
Fractional positions:
S1 0.066 0.402 0.197
S2 0.598 0.934 0.803
S3 0.271 0.271 0.803
S4 0.402 0.066 0.197
S5 0.934 0.598 0.803
S6 0.729 0.729 0.197
Sm1 0.333 0.667 0.000
Sm2 0.667 0.333 0.000
Bi1 0.000 0.000 0.000
Rb1 0.500 0.500 0.500
Rb2 0.165 0.835 0.500
Rb3 0.835 0.165 0.500